Here is crystalline Nb2VCd at its relaxed geometry from the Alexandria database. Energies are from PBE.

Cell: 2.8234 2.8234 11.0380 Å, 82.65 82.65 60.00°
Atoms (fractional coordinates):
Nb: 0.0929 0.0929 0.7214
Nb: 0.9071 0.9071 0.2786
V: 0.5000 0.5000 0.5000
Cd: 0.0000 0.0000 0.0000

---

Here is crystalline NbV4Cd at its relaxed geometry from the Alexandria database. Energies are from PBE.

Cell: 5.0836 5.0836 5.0836 Å, 60.00 60.00 60.00°
Atoms (fractional coordinates):
V: 0.1359 0.6214 0.6214
V: 0.6214 0.6214 0.6214
V: 0.6214 0.1359 0.6214
V: 0.6214 0.6214 0.1359
Cd: 0.0000 0.0000 0.0000
Nb: 0.2500 0.2500 0.2500

---

Here is crystalline Nb2VCd at its relaxed geometry from the Alexandria database. Energies are from PBE.

Cell: 3.9046 3.9046 10.3624 Å, 79.14 79.14 90.00°
Atoms (fractional coordinates):
Nb: 0.1387 0.6250 0.2500
Nb: 0.6113 0.1250 0.2500
Nb: 0.8750 0.8613 0.7500
Nb: 0.3750 0.3887 0.7500
V: 0.2500 0.7500 0.5000
V: 0.5000 0.5000 0.0000
Cd: 0.7500 0.2500 0.5000
Cd: 0.0000 0.0000 0.0000

---

Here is crystalline Nb2VCd at its relaxed geometry from the Alexandria database. Energies are from PBE.

Cell: 3.2196 3.2196 6.8960 Å, 90.00 90.00 90.00°
Atoms (fractional coordinates):
Nb: 0.0000 0.0000 0.2122
Nb: 0.0000 0.0000 0.7878
V: 0.5000 0.5000 0.0000
Cd: 0.5000 0.5000 0.5000

---

Here is crystalline NbV3Cd at its relaxed geometry from the Alexandria database. Energies are from PBE.

Cell: 4.6298 4.6298 4.6298 Å, 90.00 90.00 90.00°
Atoms (fractional coordinates):
V: 0.0000 0.0000 0.5000
V: 0.0000 0.5000 0.0000
V: 0.5000 0.0000 0.0000
Nb: 0.0000 0.0000 0.0000
Cd: 0.5000 0.5000 0.5000

---

Here is crystalline NbCdW2 at its relaxed geometry from the Alexandria database. Energies are from PBE.

Cell: 2.8044 4.5274 11.1950 Å, 90.00 92.51 90.00°
Atoms (fractional coordinates):
W: 0.0259 0.0000 0.7943
W: 0.3701 0.5000 0.9102
W: 0.3127 0.0000 0.5555
W: 0.9676 0.5000 0.4462
Nb: 0.7415 0.0000 0.0275
Nb: 0.6788 0.5000 0.6742
Cd: 0.2088 0.5000 0.1687
Cd: 0.4981 0.0000 0.3044

---

Here is crystalline NbCdW2 at its relaxed geometry from the Alexandria database. Energies are from PBE.

Cell: 5.4756 4.5554 5.7648 Å, 90.00 101.25 90.00°
Atoms (fractional coordinates):
W: 0.9128 0.5000 0.5359
W: 0.1510 0.0000 0.4528
W: 0.4139 0.5000 0.3290
W: 0.1624 0.0000 0.9871
Cd: 0.4040 0.5000 0.8264
Cd: 0.6666 0.0000 0.7077
Nb: 0.9264 0.5000 0.0709
Nb: 0.6595 0.0000 0.2095

---

Here is crystalline NbCdW2 at its relaxed geometry from the Alexandria database. Energies are from PBE.

Cell: 3.2539 4.5313 9.5717 Å, 90.00 90.00 90.00°
Atoms (fractional coordinates):
W: 0.0000 0.5000 0.4965
W: 0.5000 0.0000 0.4997
W: 0.0000 0.5000 0.9644
W: 0.5000 0.5000 0.7335
Cd: 0.5000 0.5000 0.2283
Cd: 0.0000 0.0000 0.2466
Nb: 0.0000 0.0000 0.7316
Nb: 0.5000 0.0000 0.9802

---

Here is crystalline NbCdW2 at its relaxed geometry from the Alexandria database. Energies are from PBE.

Cell: 2.7434 4.7322 5.4671 Å, 90.00 98.67 90.00°
Atoms (fractional coordinates):
Nb: 0.5000 0.5000 0.5000
W: 0.7578 0.0000 0.2631
W: 0.2422 0.0000 0.7369
Cd: 0.0000 0.5000 0.0000

---

Here is crystalline NbCdW2 at its relaxed geometry from the Alexandria database. Energies are from PBE.

Cell: 2.7861 5.3916 9.9403 Å, 103.69 95.44 100.90°
Atoms (fractional coordinates):
Cd: 0.5118 0.5980 0.2359
Cd: 0.0690 0.0906 0.2391
W: 0.1487 0.7141 0.9670
W: 0.7862 0.8369 0.7322
W: 0.9159 0.4704 0.4975
W: 0.4150 0.9653 0.4981
Nb: 0.2799 0.3383 0.7326
Nb: 0.6543 0.2133 0.9785

---

Here is crystalline Nb3CdW at its relaxed geometry from the Alexandria database. Energies are from PBE.

Cell: 4.8979 4.8979 4.8979 Å, 90.00 90.00 90.00°
Atoms (fractional coordinates):
W: 0.0000 0.0000 0.0000
Nb: 0.0000 0.0000 0.5000
Nb: 0.5000 0.0000 0.0000
Nb: 0.0000 0.5000 0.0000
Cd: 0.5000 0.5000 0.5000

---

Here is crystalline NbCdW2 at its relaxed geometry from the Alexandria database. Energies are from PBE.

Cell: 2.7631 4.5742 5.7293 Å, 90.00 102.81 90.00°
Atoms (fractional coordinates):
Nb: 0.4478 0.5000 0.5566
Cd: 0.7411 0.0000 0.2939
W: 0.9604 0.5000 0.0172
W: 0.1871 0.0000 0.8035

---

Number 1: final energy -7.06 eV/atom. Number 2: final energy -7.76 eV/atom. Number 3: final energy -6.81 eV/atom. Number 4: final energy -7.41 eV/atom. Number 5: final energy -6.35 eV/atom. Number 6: final energy -9.04 eV/atom. Number 7: final energy -8.88 eV/atom. Number 8: final energy -8.99 eV/atom. Number 9: final energy -8.87 eV/atom. Number 10: final energy -8.99 eV/atom. Number 11: final energy -7.61 eV/atom. Number 12: final energy -8.90 eV/atom.